Entry 1:
# Ac6SnPb2Se3

A relaxed Ac6SnPb2Se3 crystal (PBE-GGA, Alexandria via LeMat-Bulk).

Raw total energy ... -5.0921 eV per atom
Energy relative to the elements, uncorrected ... -28.0 kcal/mol of atoms
Fermi-level density of states ... 5.50 states/eV/f.u.

Lattice parameters (Å, degrees): 20.3431 4.7188 9.3218 90.00 102.19 90.00
Space group C2/m (No. 12)
Unique sites:
1 Ac 0.0016 0.0000 0.2494
2 Ac 0.1645 0.5000 0.0872
3 Ac 0.1672 0.5000 0.5781
4 Sn 0.0000 0.5000 0.5000
5 Pb 0.1670 0.0000 0.8332
6 Se 0.0000 0.5000 0.0000
7 Se 0.1665 0.0000 0.3331

=====

Entry 2:
# Ac6SnPb3Se2

A relaxed Ac6SnPb3Se2 crystal (PBE-GGA, Alexandria via LeMat-Bulk).

Raw total energy ... -4.8517 eV per atom
Energy relative to the elements, uncorrected ... -22.0 kcal/mol of atoms
Fermi-level density of states ... 9.65 states/eV/f.u.

Lattice parameters (Å, degrees): 20.8449 4.7030 9.5762 90.00 105.56 90.00
Space group C2/m (No. 12)
Unique sites:
1 Ac 0.0054 0.0000 0.2494
2 Ac 0.1662 0.5000 0.0895
3 Ac 0.1699 0.5000 0.5730
4 Sn 0.0000 0.5000 0.0000
5 Pb 0.0000 0.5000 0.5000
6 Pb 0.1660 0.0000 0.8269
7 Se 0.1689 0.0000 0.3351

=====

Entry 3:
# SrAcPb2Se4

A relaxed SrAcPb2Se4 crystal (PBE-GGA, Alexandria via LeMat-Bulk).

Raw total energy ... -4.6345 eV per atom
Energy relative to the elements, uncorrected ... -28.6 kcal/mol of atoms
Fermi-level density of states ... 3.75 states/eV/f.u.

Lattice parameters (Å, degrees): 6.3279 6.3279 12.6130 90.00 90.00 90.00
Space group I-4m2 (No. 119)
Unique sites:
1 Sr 0.0000 0.0000 0.0000
2 Ac 0.0000 0.5000 0.7500
3 Pb 0.0000 0.0000 0.5000
4 Pb 0.0000 0.5000 0.2500
5 Se 0.0000 0.0000 0.2494
6 Se 0.0000 0.5000 0.5033

=====

Entry 4:
# Ac6Te3Pb2Se

A relaxed Ac6Te3Pb2Se crystal (PBE-GGA, Alexandria via LeMat-Bulk).

Raw total energy ... -5.0180 eV per atom
Energy relative to the elements, uncorrected ... -29.3 kcal/mol of atoms
Fermi-level density of states ... 4.65 states/eV/f.u.

Lattice parameters (Å, degrees): 20.7568 4.7785 9.4809 90.00 103.63 90.00
Space group C2/m (No. 12)
Unique sites:
1 Ac 0.0014 0.0000 0.2383
2 Ac 0.1617 0.5000 0.0847
3 Ac 0.1687 0.5000 0.5769
4 Te 0.0000 0.5000 0.5000
5 Te 0.1675 0.0000 0.8332
6 Pb 0.1646 0.0000 0.3282
7 Se 0.0000 0.5000 0.0000

=====

Entry 5:
# Ac6TePb3Se2

A relaxed Ac6TePb3Se2 crystal (PBE-GGA, Alexandria via LeMat-Bulk).

Raw total energy ... -4.9590 eV per atom
Energy relative to the elements, uncorrected ... -26.2 kcal/mol of atoms
Fermi-level density of states ... 5.07 states/eV/f.u.

Lattice parameters (Å, degrees): 20.5618 4.7693 9.4394 90.00 102.22 90.00
Space group C2/m (No. 12)
Unique sites:
1 Ac 0.0034 0.0000 0.2573
2 Ac 0.1681 0.5000 0.5799
3 Ac 0.1700 0.5000 0.0883
4 Te 0.0000 0.5000 0.0000
5 Pb 0.0000 0.5000 0.5000
6 Pb 0.1643 0.0000 0.8310
7 Se 0.1680 0.0000 0.3345

=====

Entry 6:
# Ac6Te2Pb3Se

A relaxed Ac6Te2Pb3Se crystal (PBE-GGA, Alexandria via LeMat-Bulk).

Raw total energy ... -4.8870 eV per atom
Energy relative to the elements, uncorrected ... -25.2 kcal/mol of atoms
Fermi-level density of states ... 4.53 states/eV/f.u.

Lattice parameters (Å, degrees): 20.7825 4.8075 9.5428 90.00 102.47 90.00
Space group C2/m (No. 12)
Unique sites:
1 Ac 0.0032 0.0000 0.2547
2 Ac 0.1640 0.5000 0.5762
3 Ac 0.1647 0.5000 0.0892
4 Te 0.1658 0.0000 0.8329
5 Pb 0.0000 0.5000 0.0000
6 Pb 0.1687 0.0000 0.3355
7 Se 0.0000 0.5000 0.5000

=====

Entry 7:
# AcTlPb2Se4

A relaxed AcTlPb2Se4 crystal (PBE-GGA, Alexandria via LeMat-Bulk).

Raw total energy ... -4.4435 eV per atom
Energy relative to the elements, uncorrected ... -22.2 kcal/mol of atoms

Lattice parameters (Å, degrees): 7.7184 4.4877 7.7427 90.00 108.83 90.00
Space group P2/m (No. 10)
Unique sites:
1 Ac 0.0000 0.0000 0.0000
2 Tl 0.0000 0.5000 0.5000
3 Pb 0.5000 0.0000 0.5000
4 Pb 0.5000 0.5000 0.0000
5 Se 0.2513 0.5000 0.2407
6 Se 0.2597 0.0000 0.7658

=====

Entry 8:
# Ac2ZnPbSe5

A relaxed Ac2ZnPbSe5 crystal (PBE-GGA, Alexandria via LeMat-Bulk).

Raw total energy ... -4.7839 eV per atom
Energy relative to the elements, uncorrected ... -31.9 kcal/mol of atoms

Lattice parameters (Å, degrees): 4.3102 18.7846 12.5860 90.00 90.00 90.00
Space group Cmc2_1 (No. 36)
Unique sites:
1 Ac 0.0000 0.1107 0.0000
2 Ac 0.0000 0.1253 0.6216
3 Zn 0.0000 0.4437 0.7647
4 Pb 0.0000 0.2044 0.3279
5 Se 0.0000 0.0419 0.3674
6 Se 0.0000 0.2859 0.9974
7 Se 0.0000 0.3215 0.6602
8 Se 0.0000 0.3640 0.3146
9 Se 0.0000 0.4959 0.0885

=====

Entry 9:
# Ac6SiPb5

A relaxed Ac6SiPb5 crystal (PBE-GGA, Alexandria via LeMat-Bulk).

Raw total energy ... -4.4850 eV per atom
Energy relative to the elements, uncorrected ... -10.0 kcal/mol of atoms
Fermi-level density of states ... 9.98 states/eV/f.u.

Lattice parameters (Å, degrees): 8.9285 12.4300 8.4601 90.00 102.61 90.00
Space group C2/m (No. 12)
Unique sites:
1 Ac 0.2051 0.0000 0.2246
2 Ac 0.2193 0.1640 0.7210
3 Si 0.0000 0.0000 0.5000
4 Pb 0.0000 0.2126 0.0000
5 Pb 0.0000 0.3723 0.5000
6 Pb 0.0000 0.5000 0.0000

=====

Entry 10:
# Ac2SiPb

A relaxed Ac2SiPb crystal (PBE-GGA, Alexandria via LeMat-Bulk).

Raw total energy ... -4.6871 eV per atom
Energy relative to the elements, uncorrected ... -8.1 kcal/mol of atoms
Fermi-level density of states ... 3.46 states/eV/f.u.

Lattice parameters (Å, degrees): 5.2816 5.2816 17.1105 90.00 90.00 120.00
Space group R-3m (No. 166, hexagonal axes)
Unique sites:
1 Ac 0.0000 0.0000 0.2405
2 Si 0.0000 0.0000 0.5000
3 Pb 0.0000 0.0000 0.0000

=====

Entry 11:
# Ac4SiPb3

A relaxed Ac4SiPb3 crystal (PBE-GGA, Alexandria via LeMat-Bulk).

Raw total energy ... -4.6167 eV per atom
Energy relative to the elements, uncorrected ... -11.4 kcal/mol of atoms
Fermi-level density of states ... 8.03 states/eV/f.u.

Lattice parameters (Å, degrees): 4.5951 4.9718 12.3751 90.00 90.00 90.00
Space group Pmm2 (No. 25)
Unique sites:
1 Ac 0.0000 0.0000 0.0000
2 Ac 0.0000 0.5000 0.4780
3 Ac 0.5000 0.0000 0.7109
4 Ac 0.5000 0.5000 0.2166
5 Si 0.0000 0.0000 0.2636
6 Pb 0.0000 0.5000 0.7594
7 Pb 0.5000 0.0000 0.4260
8 Pb 0.5000 0.5000 0.9389

=====

Entry 12:
# AcSiPb2

A relaxed AcSiPb2 crystal (PBE-GGA, Alexandria via LeMat-Bulk).

Raw total energy ... -4.4363 eV per atom
Energy relative to the elements, uncorrected ... -4.6 kcal/mol of atoms
Fermi-level density of states ... 2.66 states/eV/f.u.

Lattice parameters (Å, degrees): 4.7553 4.7553 5.1500 90.00 90.00 90.00
Space group P4/mmm (No. 123)
Unique sites:
1 Ac 0.0000 0.0000 0.0000
2 Si 0.5000 0.5000 0.0000
3 Pb 0.0000 0.5000 0.5000